The following is a GGA-PBE calculation of a relaxed CaTeAs crystal, from Alexandria.

Summary:
E_tot (eV per cell): -11.3
D(E_F) (states/eV/f.u.): 1.31
Raw formation energy (eV per atom): -0.50

```
data_CaTeAs
_chemical_formula_sum 'Ca1 Te1 As1'
_symmetry_space_group_name_H-M 'P -6 m 2'
_symmetry_Int_Tables_number 187
_symmetry_space_group_name_Hall 'P -6 2'
_cell_length_a 4.9644
_cell_length_b 4.9644
_cell_length_c 3.8831
_cell_angle_alpha 90.00
_cell_angle_beta 90.00
_cell_angle_gamma 120.00
loop_
_atom_site_label
_atom_site_type_symbol
_atom_site_fract_x
_atom_site_fract_y
_atom_site_fract_z
Ca1 Ca 0.0000 0.0000 0.0000
Te1 Te 0.6667 0.3333 0.5000
As1 As 0.3333 0.6667 0.5000
```

---

The following is a GGA-PBE calculation of a relaxed CaTe2As2 crystal, from Alexandria.

Summary:
E_tot (eV per cell): -37.9
Excess energy over the best structure of this formula in the dataset (meV/atom): 92.7
D(E_F) (states/eV/f.u.): 3.11
Raw formation energy (eV per atom): -0.28

```
data_CaTe2As2
_chemical_formula_sum 'Ca2 Te4 As4'
_symmetry_space_group_name_H-M 'I 4/m m m'
_symmetry_Int_Tables_number 139
_symmetry_space_group_name_Hall '-I 4 2'
_cell_length_a 3.964
_cell_length_b 3.964
_cell_length_c 17.307
_cell_angle_alpha 90.00
_cell_angle_beta 90.00
_cell_angle_gamma 90.00
loop_
_atom_site_label
_atom_site_type_symbol
_atom_site_fract_x
_atom_site_fract_y
_atom_site_fract_z
Ca1 Ca 0.000 0.000 0.000
Te1 Te 0.000 0.000 0.407
As1 As 0.000 0.500 0.250
```

---

The following is a GGA-PBE calculation of a relaxed Ca2TeAs crystal, from Alexandria.

Summary:
E_tot (eV per cell): -32.0
Excess energy over the best structure of this formula in the dataset (meV/atom): 143.9
D(E_F) (states/eV/f.u.): 1.04
Raw formation energy (eV per atom): -1.05

```
data_Ca2TeAs
_chemical_formula_sum 'Ca4 Te2 As2'
_symmetry_space_group_name_H-M 'C 1 2/m 1'
_symmetry_Int_Tables_number 12
_symmetry_space_group_name_Hall '-C 2y'
_cell_length_a 7.130
_cell_length_b 7.878
_cell_length_c 3.855
_cell_angle_alpha 90.00
_cell_angle_beta 92.42
_cell_angle_gamma 90.00
loop_
_atom_site_label
_atom_site_type_symbol
_atom_site_fract_x
_atom_site_fract_y
_atom_site_fract_z
Ca1 Ca 0.250 0.250 0.000
Te1 Te 0.000 0.000 0.500
As1 As 0.000 0.500 0.500
```

---

The following is a GGA-PBE calculation of a relaxed CaTeAs crystal, from Alexandria.

Summary:
E_tot (eV per cell): -24.2
D(E_F) (states/eV/f.u.): 1.04
Raw formation energy (eV per atom): -0.77

```
data_CaTeAs
_chemical_formula_sum 'Ca2 Te2 As2'
_symmetry_space_group_name_H-M 'P -1'
_symmetry_Int_Tables_number 2
_symmetry_space_group_name_Hall '-P 1'
_cell_length_a 4.110
_cell_length_b 4.113
_cell_length_c 10.265
_cell_angle_alpha 78.73
_cell_angle_beta 89.87
_cell_angle_gamma 89.93
loop_
_atom_site_label
_atom_site_type_symbol
_atom_site_fract_x
_atom_site_fract_y
_atom_site_fract_z
Ca1 Ca 0.249 0.395 0.219
Te1 Te 0.252 0.176 0.632
As1 As 0.250 0.044 0.906
```

---

The following is a GGA-PBE calculation of a relaxed Ca2TeAs2 crystal, from Alexandria.

Summary:
E_tot (eV per cell): -43.1
Excess energy over the best structure of this formula in the dataset (meV/atom): 0.0
D(E_F) (states/eV/f.u.): 0.82
Raw formation energy (eV per atom): -1.02

```
data_Ca2TeAs2
_chemical_formula_sum 'Ca4 Te2 As4'
_symmetry_space_group_name_H-M 'I 4/m m m'
_symmetry_Int_Tables_number 139
_symmetry_space_group_name_Hall '-I 4 2'
_cell_length_a 3.971
_cell_length_b 3.971
_cell_length_c 16.535
_cell_angle_alpha 90.00
_cell_angle_beta 90.00
_cell_angle_gamma 90.00
loop_
_atom_site_label
_atom_site_type_symbol
_atom_site_fract_x
_atom_site_fract_y
_atom_site_fract_z
Ca1 Ca 0.000 0.000 0.109
Te1 Te 0.000 0.000 0.500
As1 As 0.000 0.500 0.250
```

---

The following is a GGA-PBE calculation of a relaxed CaTeAs crystal, from Alexandria.

Summary:
E_tot (eV per cell): -10.5
D(E_F) (states/eV/f.u.): 1.61
Raw formation energy (eV per atom): -0.22

```
data_CaTeAs
_chemical_formula_sum 'Ca1 Te1 As1'
_symmetry_space_group_name_H-M 'P 3 m 1'
_symmetry_Int_Tables_number 156
_symmetry_space_group_name_Hall 'P 3 -2"'
_cell_length_a 3.4989
_cell_length_b 3.4989
_cell_length_c 8.4753
_cell_angle_alpha 90.00
_cell_angle_beta 90.00
_cell_angle_gamma 120.00
loop_
_atom_site_label
_atom_site_type_symbol
_atom_site_fract_x
_atom_site_fract_y
_atom_site_fract_z
Ca1 Ca 0.0000 0.0000 0.0000
Te1 Te 0.6667 0.3333 0.2914
As1 As 0.3333 0.6667 0.7328
```

---

The following is a GGA-PBE calculation of a relaxed CaTe2As2 crystal, from Alexandria.

Summary:
E_tot (eV per cell): -37.2
Excess energy over the best structure of this formula in the dataset (meV/atom): 165.9
D(E_F) (states/eV/f.u.): 3.77
Raw formation energy (eV per atom): -0.20

```
data_CaTe2As2
_chemical_formula_sum 'Ca2 Te4 As4'
_symmetry_space_group_name_H-M 'I 4/m m m'
_symmetry_Int_Tables_number 139
_symmetry_space_group_name_Hall '-I 4 2'
_cell_length_a 4.171
_cell_length_b 4.171
_cell_length_c 19.792
_cell_angle_alpha 90.00
_cell_angle_beta 90.00
_cell_angle_gamma 90.00
loop_
_atom_site_label
_atom_site_type_symbol
_atom_site_fract_x
_atom_site_fract_y
_atom_site_fract_z
Ca1 Ca 0.000 0.000 0.000
Te1 Te 0.000 0.500 0.250
As1 As 0.000 0.000 0.441
```

---

The following is a GGA-PBE calculation of a relaxed Ca2TeAs2 crystal, from Alexandria.

Summary:
E_tot (eV per cell): -38.7
Excess energy over the best structure of this formula in the dataset (meV/atom): 444.9
D(E_F) (states/eV/f.u.): 3.73
Raw formation energy (eV per atom): -0.58

```
data_Ca2TeAs2
_chemical_formula_sum 'Ca4 Te2 As4'
_symmetry_space_group_name_H-M 'P 4/m b m'
_symmetry_Int_Tables_number 127
_symmetry_space_group_name_Hall '-P 4 2ab'
_cell_length_a 8.794
_cell_length_b 8.794
_cell_length_c 3.311
_cell_angle_alpha 90.00
_cell_angle_beta 90.00
_cell_angle_gamma 90.00
loop_
_atom_site_label
_atom_site_type_symbol
_atom_site_fract_x
_atom_site_fract_y
_atom_site_fract_z
Ca1 Ca 0.142 0.358 0.000
Te1 Te 0.000 0.000 0.000
As1 As 0.160 0.660 0.500
```

---

The following is a GGA-PBE calculation of a relaxed Ca2TeAs crystal, from Alexandria.

Summary:
E_tot (eV per cell): -16.5
Excess energy over the best structure of this formula in the dataset (meV/atom): 24.1
D(E_F) (states/eV/f.u.): 4.46
Raw formation energy (eV per atom): -1.17

```
data_Ca2TeAs
_chemical_formula_sum 'Ca2 Te1 As1'
_symmetry_space_group_name_H-M 'P 4/m m m'
_symmetry_Int_Tables_number 123
_symmetry_space_group_name_Hall '-P 4 2'
_cell_length_a 4.389
_cell_length_b 4.389
_cell_length_c 6.236
_cell_angle_alpha 90.00
_cell_angle_beta 90.00
_cell_angle_gamma 90.00
loop_
_atom_site_label
_atom_site_type_symbol
_atom_site_fract_x
_atom_site_fract_y
_atom_site_fract_z
Ca1 Ca 0.000 0.000 0.000
Ca2 Ca 0.500 0.500 0.500
Te1 Te 0.000 0.000 0.500
As1 As 0.500 0.500 0.000
```

---

The following is a GGA-PBE calculation of a relaxed CaTe3As crystal, from Alexandria.

Summary:
E_tot (eV per cell): -17.3
Excess energy over the best structure of this formula in the dataset (meV/atom): 0.0
D(E_F) (states/eV/f.u.): 2.67
Raw formation energy (eV per atom): -0.24

```
data_CaTe3As
_chemical_formula_sum 'Ca1 Te3 As1'
_symmetry_space_group_name_H-M 'P m -3 m'
_symmetry_Int_Tables_number 221
_symmetry_space_group_name_Hall '-P 4 2 3'
_cell_length_a 5.477
_cell_length_b 5.477
_cell_length_c 5.477
_cell_angle_alpha 90.00
_cell_angle_beta 90.00
_cell_angle_gamma 90.00
loop_
_atom_site_label
_atom_site_type_symbol
_atom_site_fract_x
_atom_site_fract_y
_atom_site_fract_z
Ca1 Ca 0.000 0.000 0.000
Te1 Te 0.000 0.500 0.500
As1 As 0.500 0.500 0.500
```

---

The following is a GGA-PBE calculation of a relaxed Ca2TeAs crystal, from Alexandria.

Summary:
E_tot (eV per cell): -54.0
Excess energy over the best structure of this formula in the dataset (meV/atom): 765.1
D(E_F) (states/eV/f.u.): 4.11
Raw formation energy (eV per atom): -0.42

```
data_Ca2TeAs
_chemical_formula_sum 'Ca8 Te4 As4'
_symmetry_space_group_name_H-M 'F -4 3 m'
_symmetry_Int_Tables_number 216
_symmetry_space_group_name_Hall 'F -4 2 3'
_cell_length_a 7.558
_cell_length_b 7.558
_cell_length_c 7.558
_cell_angle_alpha 90.00
_cell_angle_beta 90.00
_cell_angle_gamma 90.00
loop_
_atom_site_label
_atom_site_type_symbol
_atom_site_fract_x
_atom_site_fract_y
_atom_site_fract_z
Ca1 Ca 0.000 0.000 0.000
Ca2 Ca 0.250 0.250 0.250
Te1 Te 0.250 0.250 0.750
As1 As 0.000 0.000 0.500
```

---

The following is a GGA-PBE calculation of a relaxed CaTeAs crystal, from Alexandria.

Summary:
E_tot (eV per cell): -43.0
D(E_F) (states/eV/f.u.): 2.64
Raw formation energy (eV per atom): -0.32

```
data_CaTeAs
_chemical_formula_sum 'Ca4 Te4 As4'
_symmetry_space_group_name_H-M 'F -4 3 m'
_symmetry_Int_Tables_number 216
_symmetry_space_group_name_Hall 'F -4 2 3'
_cell_length_a 7.229
_cell_length_b 7.229
_cell_length_c 7.229
_cell_angle_alpha 90.00
_cell_angle_beta 90.00
_cell_angle_gamma 90.00
loop_
_atom_site_label
_atom_site_type_symbol
_atom_site_fract_x
_atom_site_fract_y
_atom_site_fract_z
Ca1 Ca 0.000 0.000 0.000
Te1 Te 0.250 0.250 0.250
As1 As 0.000 0.000 0.500
```